Entry from Alexandria via LeMat-Bulk: crystalline KNpCuSe4 at its relaxed geometry (PBE-GGA).

a = 7.0692 Å, b = 5.7393 Å, c = 9.3897 Å
α = 90.00°, β = 106.92°, γ = 90.00°
Site moments in Bohr magnetons follow the coordinates.
Sites, in units of the cell vectors:
K 0.7515 0.7500 0.9459  -0.01
K 0.2485 0.2500 0.0541  -0.01
Np 0.7316 0.7500 0.4435  3.13
Np 0.2684 0.2500 0.5565  3.13
Cu 0.2605 0.7500 0.3275  -0.15
Cu 0.7395 0.2500 0.6725  -0.15
Se 0.0170 0.5110 0.7039  -0.12
Se 0.9830 0.0110 0.2961  -0.12
Se 0.9830 0.4890 0.2961  -0.12
Se 0.0170 0.9890 0.7039  -0.12
Se 0.4640 0.7500 0.1680  -0.18
Se 0.5360 0.2500 0.8320  -0.18
Se 0.4277 0.7500 0.5864  -0.18
Se 0.5723 0.2500 0.4136  -0.18

Output
ΔE_f (raw) in eV/atom: -0.8202

***

Entry from Alexandria via LeMat-Bulk: crystalline DyHoMnGa at its relaxed geometry (PBE-GGA).

a = 5.0246 Å, b = 5.0246 Å, c = 5.0246 Å
α = 60.00°, β = 60.00°, γ = 60.00°
Site moments in Bohr magnetons follow the coordinates.
Sites, in units of the cell vectors:
Mn 0.5000 0.5000 0.5000  3.51
Ho 0.7500 0.7500 0.7500  -0.19
Ga 0.0000 0.0000 0.0000  0.00
Dy 0.2500 0.2500 0.2500  -0.18

Output
Energy relative to the elements in eV per atom: -0.17

***

Entry from Alexandria via LeMat-Bulk: crystalline ReIBr3 at its relaxed geometry (PBE-GGA).

a = 8.9649 Å, b = 10.6981 Å, c = 8.7545 Å
α = 102.10°, β = 90.00°, γ = 90.00°
Sites, in units of the cell vectors:
Re 0.0807 0.9799 0.5951
Re 0.9193 0.0201 0.4049
Re 0.5807 0.5201 0.9049
Re 0.4193 0.4799 0.0951
I 0.2003 0.4437 0.3648
I 0.7997 0.5563 0.6352
I 0.7003 0.0563 0.1352
I 0.2997 0.9437 0.8648
Br 0.9245 0.0582 0.8163
Br 0.0755 0.9418 0.1837
Br 0.4245 0.4418 0.6837
Br 0.5755 0.5582 0.3163
Br 0.5826 0.7459 0.9769
Br 0.4174 0.2541 0.0231
Br 0.0826 0.7541 0.5231
Br 0.9174 0.2459 0.4769
Br 0.2047 0.5873 0.0229
Br 0.7953 0.4127 0.9771
Br 0.7047 0.9127 0.4771
Br 0.2953 0.0873 0.5229

Output
ΔE_f (raw) in eV/atom: -0.0500

***

Entry from Alexandria via LeMat-Bulk: crystalline PaCoRe at its relaxed geometry (PBE-GGA).

a = 3.8094 Å, b = 4.1189 Å, c = 4.1189 Å
α = 120.00°, β = 90.00°, γ = 90.00°
Site moments in Bohr magnetons follow the coordinates.
Sites, in units of the cell vectors:
Re 0.1672 0.0000 0.0000  0.19
Pa 0.6667 0.3333 0.6667  0.03
Co 0.1662 0.6667 0.3333  0.43

Output
Energy relative to the elements in eV per atom: 0.06

***

Entry from Alexandria via LeMat-Bulk: crystalline NpZn11Au at its relaxed geometry (PBE-GGA).

a = 5.2689 Å, b = 6.8825 Å, c = 6.8714 Å
α = 81.42°, β = 67.46°, γ = 67.11°
Site moments in Bohr magnetons follow the coordinates.
Sites, in units of the cell vectors:
Np 0.0000 0.0000 0.0000  3.98
Zn 0.2779 0.2120 0.2176  0.00
Zn 0.7221 0.7880 0.7824  0.00
Zn 0.5045 0.7880 0.2176  0.00
Zn 0.4955 0.2120 0.7824  0.00
Zn 0.3515 0.6485 0.6427  0.00
Zn 0.6485 0.3515 0.3573  0.00
Zn 0.0057 0.3515 0.6427  0.00
Zn 0.9943 0.6485 0.3573  0.00
Zn 0.0000 0.5000 0.0000  0.00
Zn 0.5000 0.0000 0.5000  -0.01
Zn 0.0000 0.0000 0.5000  -0.01
Au 0.5000 0.5000 0.0000  0.01

Output
Energy relative to the elements in eV per atom: -0.06

***

Entry from Alexandria via LeMat-Bulk: crystalline Rb2Tl5In3 at its relaxed geometry (PBE-GGA).

a = 7.3832 Å, b = 10.5074 Å, c = 10.5074 Å
α = 75.62°, β = 69.43°, γ = 69.43°
Sites, in units of the cell vectors:
Rb 0.1276 0.6187 0.1261
Rb 0.6276 0.1261 0.6187
Rb 0.8724 0.3813 0.8739
Rb 0.3724 0.8739 0.3813
Tl 0.3833 0.2571 0.9762
Tl 0.8833 0.9762 0.2571
Tl 0.6167 0.7429 0.0238
Tl 0.1167 0.0238 0.7429
Tl 0.4948 0.7552 0.7552
Tl 0.5052 0.2448 0.2448
Tl 0.7500 0.5000 0.5000
Tl 0.2500 0.5000 0.5000
Tl 0.0052 0.2448 0.2448
Tl 0.9948 0.7552 0.7552
In 0.3732 0.4997 0.7540
In 0.8732 0.7540 0.4997
In 0.6268 0.5003 0.2460
In 0.1268 0.2460 0.5003
In 0.2500 0.0000 0.0000
In 0.7500 0.0000 0.0000

Output
Energy relative to the elements in eV per atom: -0.07

***

| no. | DFT total energy (eV per atom) |
| --- | --- |
| 1 | -5.402 |
| 2 | -5.510 |
| 3 | -3.853 |
| 4 | -9.623 |
| 5 | -2.388 |
| 6 | -2.272 |